# 1
Computed, not measured: a relaxed Tb3DyEr crystal at the PBE level of DFT.

Cell lengths 6.2508, 6.6918, 9.1667 Å; angles 72.15, 89.98, 62.21 degrees
With the nearest neighbours (Å) after each atom.
Space group P-1 (No. 2)
Inequivalent atoms, fractional coordinates:
Tb (0.0661, 0.1999, 0.0511)  4 Dy 3.50-3.62, 6 Tb 3.51-3.61, 2 Er 3.51-3.62
Tb (0.2672, 0.8003, 0.4508)  6 Tb 3.50-3.62, 4 Er 3.50-3.62, 2 Dy 3.51-3.60
Tb (0.3328, 0.0008, 0.7499)  3 Er 3.50-3.61, 3 Dy 3.50-3.61, 6 Tb 3.50-3.62
Dy (0.4662, 0.3998, 0.8498)  9 Tb 3.50-3.62, 1 Dy 3.51, 2 Er 3.60-3.61
Er (0.1337, 0.4012, 0.3500)  9 Tb 3.50-3.62, 1 Er 3.50, 2 Dy 3.60-3.61

formation enthalpy at 0 K	9.5	meV/atom
ΔE to the lowest computed polymorph	0.00	kcal/mol of atoms

# 2
Computed, not measured: a relaxed Pm2SiPt3 crystal at the PBE level of DFT.

Cell lengths 7.8286, 8.7013, 15.0978 Å; angles 90.00, 90.00, 90.00 degrees
With the nearest neighbours (Å) after each atom.
Space group Fmmm (No. 69)
Inequivalent atoms, fractional coordinates:
Pm (0.2422, 0.0000, 0.0000)  10 Pt 3.16-3.28, 2 Si 3.22
Pm (0.2500, 0.2500, 0.2500)  8 Pt 3.13, 4 Si 3.19
Si (0.0000, 0.0000, 0.3339)  3 Pt 2.35-2.37
Pt (0.0000, 0.0000, 0.1769)  1 Si 2.37
Pt (0.0000, 0.2342, 0.4118)  1 Si 2.35

raw formation energy	-1.10	eV per atom

# 3
Computed, not measured: a relaxed Sr3ErGa2O8 crystal at the PBE level of DFT.

Cell lengths 5.8864, 5.8864, 7.2636 Å; angles 90.00, 90.00, 120.00 degrees
With the nearest neighbours (Å) after each atom.
Space group P-3m1 (No. 164)
Inequivalent atoms, fractional coordinates:
Sr (0.0000, 0.0000, 0.0000)  6 O 2.86
Sr (0.3333, 0.6667, 0.6385)  1 O 2.29
Er (0.0000, 0.0000, 0.5000)  6 O 2.19
Ga (0.3333, 0.6667, 0.2015)  4 O 1.80-1.86
O (0.1694, 0.3387, 0.3143)  1 Ga 1.86
O (0.3333, 0.6667, 0.9543)  1 Ga 1.80

raw formation energy	-2.44	eV per atom

# 4
Computed, not measured: a relaxed NbSe2IN crystal at the PBE level of DFT.

Cell lengths 5.4455, 5.4455, 3.8767 Å; angles 90.00, 90.00, 90.00 degrees
With the nearest neighbours (Å) after each atom.
Space group P4/mmm (No. 123)
Inequivalent atoms, fractional coordinates:
Nb (0.0000, 0.0000, 0.0000)  8 Se 3.34
Se (0.0000, 0.5000, 0.5000)  2 I 2.72
I (0.5000, 0.5000, 0.5000)  2 N 1.94
N (0.5000, 0.5000, 0.0000)  2 I 1.94

ΔE to the lowest computed polymorph	29.38	kcal/mol of atoms
raw formation energy	1.44	eV per atom

# 5
Computed, not measured: a relaxed Cr2HgRu crystal at the PBE level of DFT.

Cell lengths 5.4200, 7.6287, 2.8007 Å; angles 90.00, 90.00, 90.00 degrees
With the nearest neighbours (Å) after each atom.
Space group Cmmm (No. 65)
Inequivalent atoms, fractional coordinates:
Cr (0.2500, 0.2500, 0.0000)  4 Cr 2.71-2.80, 4 Hg 2.73, 4 Ru 2.73
Hg (0.0000, 0.0000, 0.5000)  2 Ru 2.71, 8 Cr 2.73, 2 Hg 2.80
Ru (0.0000, 0.5000, 0.5000)  2 Hg 2.71, 8 Cr 2.73, 2 Ru 2.80

formation enthalpy at 0 K	593.5	meV/atom

# 6
Computed, not measured: a relaxed Bi2PPtSe crystal at the PBE level of DFT.

Cell lengths 5.6270, 5.6270, 4.5762 Å; angles 90.00, 90.00, 90.00 degrees
With the nearest neighbours (Å) after each atom.
Space group P4/mmm (No. 123)
Inequivalent atoms, fractional coordinates:
Bi (0.0000, 0.5000, 0.0000)  2 Se 2.81
P (0.0000, 0.0000, 0.5000)  8 Bi 3.63, 4 Pt 3.98
Pt (0.5000, 0.5000, 0.5000)  2 Se 2.29
Se (0.5000, 0.5000, 0.0000)  2 Pt 2.29

raw formation energy	0.79	eV per atom

# 7
Computed, not measured: a relaxed Pu6As3P2I crystal at the PBE level of DFT.

Cell lengths 21.3773, 3.7973, 7.3830 Å; angles 90.00, 96.09, 90.00 degrees
With the nearest neighbours (Å) after each atom.
Space group C2/m (No. 12)
Inequivalent atoms, fractional coordinates:
Pu (0.0873, 0.0000, 0.2153)  1 Pu 2.88, 3 As 2.88-3.00, 2 P 2.95
Pu (0.0923, 0.0000, 0.8269)  3 As 2.81-3.11, 2 P 2.87, 1 Pu 2.88
Pu (0.2483, 0.0000, 0.2390)  3 P 2.84-2.88, 3 As 2.91-2.94
As (0.0000, 0.5000, 0.0000)  8 Pu 3.00-3.11
As (0.1717, 0.0000, 0.5469)  5 Pu 2.81-2.94
P (0.1684, 0.5000, 0.0430)  7 Pu 2.84-2.95
I (0.0000, 0.5000, 0.5000)  8 Pu 3.51, 2 As 3.69, 2 I 3.80

raw formation energy	-0.78	eV per atom

# 8
Computed, not measured: a relaxed Sm4CoHg3 crystal at the PBE level of DFT.

Cell lengths 3.6258, 3.6258, 15.5114 Å; angles 90.00, 90.00, 90.00 degrees
With the nearest neighbours (Å) after each atom.
Space group P4/mmm (No. 123)
Inequivalent atoms, fractional coordinates:
Sm (0.0000, 0.0000, 0.1056)  4 Co 3.04, 1 Sm 3.28, 4 Hg 3.31
Sm (0.0000, 0.0000, 0.3696)  8 Hg 3.25-3.27, 4 Sm 3.63
Co (0.5000, 0.5000, 0.0000)  8 Sm 3.04
Hg (0.5000, 0.5000, 0.2408)  8 Sm 3.25-3.31, 4 Hg 3.63
Hg (0.5000, 0.5000, 0.5000)  8 Sm 3.27, 4 Hg 3.63

formation enthalpy at 0 K	-348.9	meV/atom

# 9
Computed, not measured: a relaxed K2CrMoN4 crystal at the PBE level of DFT.

Cell lengths 5.9730, 6.5101, 6.8123 Å; angles 90.00, 90.00, 90.00 degrees
With the nearest neighbours (Å) after each atom.
Space group Pmmn (No. 59, origin choice 2)
Inequivalent atoms, fractional coordinates:
K (0.2500, 0.0010, 0.2044)  7 N 2.80-2.99
Cr (0.2500, 0.7500, 0.6588)  4 N 1.78-1.83
Mo (0.2500, 0.2500, 0.6515)  4 N 1.87-1.93
N (0.0080, 0.7500, 0.5052)  1 Cr 1.78, 1 Mo 1.87
N (0.2500, 0.5069, 0.7935)  1 Cr 1.83, 1 Mo 1.93

raw formation energy	-0.39	eV per atom

# 10
Computed, not measured: a relaxed AlRh2 crystal at the PBE level of DFT.

Cell lengths 2.8384, 13.2607, 4.4926 Å; angles 90.00, 90.00, 90.00 degrees
With the nearest neighbours (Å) after each atom.
Space group Cmcm (No. 63)
Inequivalent atoms, fractional coordinates:
Al (0.0000, 0.2183, 0.2500)  6 Rh 2.54-2.58, 6 Al 2.79-2.84
Rh (0.0000, 0.1220, 0.7500)  4 Al 2.55-2.58, 8 Rh 2.78-2.84
Rh (0.0000, 0.4403, 0.7500)  2 Al 2.54, 10 Rh 2.75-2.84

formation enthalpy at 0 K	-514.0	meV/atom

# 11
Computed, not measured: a relaxed NdSb crystal at the PBE level of DFT.

Cell lengths 4.2692, 4.8315, 6.3814 Å; angles 90.00, 109.45, 90.00 degrees
With the nearest neighbours (Å) after each atom.
Space group P2_1/m (No. 11)
Inequivalent atoms, fractional coordinates:
Nd (0.1251, 0.2500, 0.2497)  5 Sb 3.16-3.23
Sb (0.3872, 0.2500, 0.7749)  5 Nd 3.16-3.23

raw formation energy	-1.05	eV per atom

# 12
Computed, not measured: a relaxed CeCuBr6 crystal at the PBE level of DFT.

Cell lengths 7.5244, 12.0346, 6.8321 Å; angles 90.00, 93.85, 90.00 degrees
With the nearest neighbours (Å) after each atom.
Space group C2/m (No. 12)
Inequivalent atoms, fractional coordinates:
Ce (0.0000, 0.0000, 0.0000)  6 Br 2.73-2.85
Cu (0.0000, 0.0000, 0.5000)  4 Br 2.48
Br (0.1313, 0.1479, 0.7176)  1 Cu 2.48
Br (0.1889, 0.5000, 0.7708)  1 Ce 2.73

ΔE to the lowest computed polymorph	0.00	kcal/mol of atoms
raw formation energy	-1.05	eV per atom

# 13
Computed, not measured: a relaxed Ac3Zr2N6 crystal at the PBE level of DFT.

Cell lengths 4.2362, 4.2362, 21.5142 Å; angles 90.00, 90.00, 90.00 degrees
With the nearest neighbours (Å) after each atom.
Space group I4/mmm (No. 139)
Inequivalent atoms, fractional coordinates:
Ac (0.0000, 0.0000, 0.0000)  8 N 2.75
Ac (0.0000, 0.0000, 0.1842)  1 N 2.51
Zr (0.0000, 0.0000, 0.3979)  5 N 2.08-2.17
N (0.0000, 0.0000, 0.3010)  1 Zr 2.08
N (0.0000, 0.5000, 0.0812)  2 Zr 2.17

raw formation energy	-1.24	eV per atom

# 14
Computed, not measured: a relaxed Al3Zn4 crystal at the PBE level of DFT.

Cell lengths 3.5780, 3.5780, 18.0110 Å; angles 90.00, 90.00, 90.00 degrees
With the nearest neighbours (Å) after each atom.
Space group I4/mmm (No. 139)
Inequivalent atoms, fractional coordinates:
Al (0.0000, 0.0000, 0.0000)  10 Zn 2.57-2.83
Al (0.0000, 0.0000, 0.2864)  6 Zn 2.57-2.83, 4 Al 2.85
Zn (0.0000, 0.0000, 0.1427)  6 Al 2.57-2.83, 4 Zn 2.84
Zn (0.0000, 0.0000, 0.4291)  5 Zn 2.55-2.84, 5 Al 2.57-2.83

formation enthalpy at 0 K	75.2	meV/atom
ΔE to the lowest computed polymorph	0.99	kcal/mol of atoms

# 15
Computed, not measured: a relaxed Li2PmPr2Bi2 crystal at the PBE level of DFT.

Cell lengths 4.9251, 4.9251, 27.9824 Å; angles 90.00, 90.00, 120.00 degrees
With the nearest neighbours (Å) after each atom.
Space group R-3m (No. 166, hexagonal axes)
Inequivalent atoms, fractional coordinates:
Li (0.0000, 0.0000, 0.0939)  3 Bi 2.85
Pm (0.0000, 0.0000, 0.5000)  6 Bi 3.40, 6 Li 3.50, 2 Pr 3.64
Pr (0.0000, 0.0000, 0.3699)  3 Li 3.27, 3 Bi 3.36, 3 Pr 3.50, 1 Pm 3.64
Bi (0.0000, 0.0000, 0.2330)  3 Li 2.85

formation enthalpy at 0 K	-462.5	meV/atom

# 16
Computed, not measured: a relaxed Zr2CuBr crystal at the PBE level of DFT.

Cell lengths 6.7350, 6.7350, 6.7350 Å; angles 90.00, 90.00, 90.00 degrees
With the nearest neighbours (Å) after each atom.
Space group Fm-3m (No. 225)
Inequivalent atoms, fractional coordinates:
Zr (0.2500, 0.2500, 0.2500)  4 Br 2.92, 4 Cu 2.92
Cu (0.0000, 0.0000, 0.0000)  8 Zr 2.92
Br (0.0000, 0.0000, 0.5000)  8 Zr 2.92

ΔE to the lowest computed polymorph	4.37	kcal/mol of atoms
raw formation energy	-0.01	eV per atom

# 17
Computed, not measured: a relaxed PmThCu2 crystal at the PBE level of DFT.

Cell lengths 3.7908, 4.3683, 5.8665 Å; angles 90.00, 108.17, 90.00 degrees
With the nearest neighbours (Å) after each atom.
Space group Pm (No. 6)
Inequivalent atoms, fractional coordinates:
Pm (0.0000, 0.0000, 0.0000)  7 Cu 3.02-3.18
Th (0.7148, 0.5000, 0.4213)  7 Cu 3.00-3.24
Cu (0.2880, 0.0000, 0.5703)  2 Cu 2.65
Cu (0.4220, 0.5000, 0.8406)  2 Cu 2.65

formation enthalpy at 0 K	-138.2	meV/atom
ΔE to the lowest computed polymorph	0.00	kcal/mol of atoms

# 18
Computed, not measured: a relaxed LaHoN crystal at the PBE level of DFT.

Cell lengths 3.5456, 3.5456, 6.4801 Å; angles 90.00, 90.00, 120.00 degrees
With the nearest neighbours (Å) after each atom.
Space group P3m1 (No. 156)
Inequivalent atoms, fractional coordinates:
La (0.0000, 0.0000, 0.0000)  3 N 2.62
Ho (0.3333, 0.6667, 0.4278)  3 N 2.34
N (0.6667, 0.3333, 0.2518)  3 Ho 2.34, 3 La 2.62

ΔE to the lowest computed polymorph	0.00	kcal/mol of atoms
raw formation energy	-0.96	eV per atom

# 19
Computed, not measured: a relaxed Os2RuRh crystal at the PBE level of DFT.

Cell lengths 2.7306, 2.7306, 26.4974 Å; angles 90.00, 90.00, 120.00 degrees
With the nearest neighbours (Å) after each atom.
Space group R3m (No. 160, hexagonal axes)
Inequivalent atoms, fractional coordinates:
Os (0.0000, 0.0000, 0.0000)  9 Os 2.70-2.73, 3 Rh 2.73
Os (0.0000, 0.0000, 0.2507)  3 Ru 2.69, 9 Os 2.70-2.73
Ru (0.0000, 0.0000, 0.5019)  3 Os 2.69, 6 Ru 2.73, 3 Rh 2.74
Rh (0.0000, 0.0000, 0.7509)  6 Rh 2.73, 3 Os 2.73, 3 Ru 2.74

formation enthalpy at 0 K	132.1	meV/atom
ΔE to the lowest computed polymorph	1.08	kcal/mol of atoms

# 20
Computed, not measured: a relaxed LiCeInTc crystal at the PBE level of DFT.

Cell lengths 6.7877, 6.7877, 6.7877 Å; angles 90.00, 90.00, 90.00 degrees
With the nearest neighbours (Å) after each atom.
Space group F-43m (No. 216)
Inequivalent atoms, fractional coordinates:
Li (0.0000, 0.0000, 0.0000)  4 In 2.94, 4 Ce 2.94
Ce (0.2500, 0.2500, 0.7500)  4 Li 2.94, 4 Tc 2.94
In (0.2500, 0.2500, 0.2500)  4 Li 2.94, 4 Tc 2.94
Tc (0.0000, 0.0000, 0.5000)  4 In 2.94, 4 Ce 2.94

formation enthalpy at 0 K	-38.6	meV/atom

Number 1: D(E_F) 18.01 states/eV per cell. Number 2: D(E_F) 27.09 states/eV per cell. Number 3: D(E_F) 12.68 states/eV per cell. Number 4: D(E_F) 3.38 states/eV per cell. Number 5: D(E_F) 9.51 states/eV per cell. Number 6: D(E_F) 3.77 states/eV per cell. Number 7: D(E_F) 101.02 states/eV per cell. Number 8: D(E_F) 7.51 states/eV per cell. Number 9: D(E_F) 4.64 states/eV per cell. Number 10: D(E_F) 11.20 states/eV per cell. Number 11: D(E_F) 1.02 states/eV per cell. Number 12: D(E_F) 1.23 states/eV per cell. Number 13: D(E_F) 9.20 states/eV per cell. Number 14: D(E_F) 6.58 states/eV per cell. Number 15: D(E_F) 15.50 states/eV per cell. Number 16: D(E_F) 11.55 states/eV per cell. Number 17: D(E_F) 4.26 states/eV per cell. Number 18: D(E_F) 3.09 states/eV per cell. Number 19: D(E_F) 15.24 states/eV per cell. Number 20: D(E_F) 18.14 states/eV per cell.